Record 1
A plane-wave DFT calculation with PBE-GGA was carried out for an optimized crystal structure of K2CeInCl6.

The structure belongs to space group P2_1/c (No. 14); the cell edges are 7.620, 8.119 and 13.248 Å and the angles 90.00°, 123.70° and 90.00°. The inequivalent atoms are K at (0.213, 0.075, 0.243), Ce at (0.500, 0.000, 0.000), In at (0.000, 0.000, 0.500), Cl at (0.146, 0.179, 0.938), Cl at (0.250, 0.719, 0.919) and Cl at (0.408, 0.064, 0.770).

Its uncorrected formation energy is -1.85 eV per atom.

***

Record 2
A plane-wave DFT calculation with PBE-GGA was carried out for an optimized crystal structure of KCeIn2Cl8.

The structure belongs to space group P2/m (No. 10); the cell edges are 6.530, 8.986 and 6.745 Å and the angles 90.00°, 90.14° and 90.00°. The inequivalent atoms are K at (0.000, 0.000, 0.000), Ce at (0.000, 0.500, 0.000), In at (0.500, 0.243, 0.500), Cl at (0.221, 0.282, 0.174), Cl at (0.268, 0.500, 0.689) and Cl at (0.302, 0.000, 0.646).

Its uncorrected formation energy is -1.49 eV per atom.

***

Record 3
A plane-wave DFT calculation with PBE-GGA was carried out for an optimized crystal structure of LiCeIn2Cl6.

The structure belongs to space group C2/m (No. 12); the cell edges are 12.703, 7.425 and 7.543 Å and the angles 90.00°, 125.04° and 90.00°. The inequivalent atoms are Li at (0.000, 0.000, 0.000), Ce at (0.000, 0.500, 0.500), In at (0.243, 0.500, 0.216), Cl at (0.052, 0.245, 0.809) and Cl at (0.243, 0.000, 0.333).

Its uncorrected formation energy is -1.55 eV per atom.

***

Record 4
A plane-wave DFT calculation with PBE-GGA was carried out for an optimized crystal structure of Li2CeInCl8.

The structure belongs to space group P2/m (No. 10); the cell edges are 6.221, 8.018 and 6.342 Å and the angles 90.00°, 94.44° and 90.00°. The inequivalent atoms are Li at (0.000, 0.246, 0.000), Ce at (0.500, 0.500, 0.500), In at (0.500, 0.000, 0.500), Cl at (0.203, 0.500, 0.168), Cl at (0.218, 0.000, 0.191) and Cl at (0.289, 0.233, 0.680).

Its uncorrected formation energy is -1.66 eV per atom.

***

Record 5
A plane-wave DFT calculation with PBE-GGA was carried out for an optimized crystal structure of CeMgInCl6.

The structure belongs to space group P-31c (No. 163); the cell edges are 6.9692, 6.9692 and 13.7699 Å and the angles 90.00°, 90.00° and 120.00°. The inequivalent atoms are Ce at (0.3333, 0.6667, 0.2500), Mg at (0.3333, 0.6667, 0.7500), In at (0.0000, 0.0000, 0.0000) and Cl at (0.0255, 0.3830, 0.6425).

Its uncorrected formation energy is -1.78 eV per atom.

***

Record 6
A plane-wave DFT calculation with PBE-GGA was carried out for an optimized crystal structure of NaCeInCl6.

The structure belongs to space group P-31c (No. 163); the cell edges are 7.1721, 7.1721 and 13.2287 Å and the angles 90.00°, 90.00° and 120.00°. The inequivalent atoms are Na at (0.3333, 0.6667, 0.2500), Ce at (0.3333, 0.6667, 0.7500), In at (0.0000, 0.0000, 0.0000) and Cl at (0.0211, 0.3705, 0.6362).

Its uncorrected formation energy is -1.70 eV per atom.

***

Record 7
A plane-wave DFT calculation with PBE-GGA was carried out for an optimized crystal structure of CeIn2PbCl8.

The structure belongs to space group P2/m (No. 10); the cell edges are 6.866, 8.737 and 7.096 Å and the angles 90.00°, 91.85° and 90.00°. The inequivalent atoms are Ce at (0.000, 0.000, 0.000), In at (0.500, 0.255, 0.500), Pb at (0.000, 0.500, 0.000), Cl at (0.207, 0.230, 0.849), Cl at (0.235, 0.000, 0.297) and Cl at (0.275, 0.500, 0.315).

Its uncorrected formation energy is -1.38 eV per atom.

***

Record 8
A plane-wave DFT calculation with PBE-GGA was carried out for an optimized crystal structure of RbCe2InCl8.

The structure belongs to space group P2/m (No. 10); the cell edges are 6.996, 8.795 and 7.300 Å and the angles 90.00°, 92.27° and 90.00°. The inequivalent atoms are Rb at (0.000, 0.000, 0.000), Ce at (0.500, 0.252, 0.500), In at (0.000, 0.500, 0.000), Cl at (0.262, 0.258, 0.199), Cl at (0.296, 0.500, 0.644) and Cl at (0.297, 0.000, 0.640).

Its uncorrected formation energy is -1.92 eV per atom.

***

Number 1: total DFT energy (no corrections) -80.9 eV/cell. Number 2: total DFT energy (no corrections) -45.2 eV/cell. Number 3: total DFT energy (no corrections) -79.9 eV/cell. Number 4: total DFT energy (no corrections) -47.2 eV/cell. Number 5: total DFT energy (no corrections) -74.7 eV/cell. Number 6: total DFT energy (no corrections) -72.7 eV/cell. Number 7: total DFT energy (no corrections) -46.5 eV/cell. Number 8: total DFT energy (no corrections) -53.4 eV/cell.